# Ir2CI (PBE-GGA, optimized geometry)
data_Ir2CI
_chemical_formula_sum 'Ir4 C2 I2'
_symmetry_space_group_name_H-M 'P 1'
_symmetry_Int_Tables_number 1
_symmetry_space_group_name_Hall 'P 1'
_cell_length_a 5.113
_cell_length_b 5.113
_cell_length_c 6.662
_cell_angle_alpha 67.44
_cell_angle_beta 67.44
_cell_angle_gamma 90.00
loop_
_atom_site_label
_atom_site_type_symbol
_atom_site_fract_x
_atom_site_fract_y
_atom_site_fract_z
Ir1 Ir 0.511 0.125 0.250
Ir2 Ir 0.239 0.625 0.250
C1 C 0.500 0.500 0.000
I1 I 0.000 0.000 0.000
Ir3 Ir 0.875 0.761 0.750
Ir4 Ir 0.375 0.489 0.750
I2 I 0.750 0.250 0.500
C2 C 0.250 0.750 0.500
# SG: No. 122
# Final energy in eV/cell: -50.6
# E_form (uncorrected) in eV per atom: 0.805
# DOS at the Fermi energy in states/eV/f.u.: 4.13